1.
The following is a PBE-GGA calculation of a geometry-optimized Y3Zn8Cd structure, from the Alexandria database.

Cell: 5.4336 5.4336 26.6099 Å, 90.00 90.00 120.00°
Last column: nearest neighbours and their distance in Å.
Space group R3m (No. 160, hexagonal axes)
Inequivalent atoms, fractional coordinates:
Y1 0.0000 0.0000 0.0000  12 Zn 3.15-3.22, 4 Y 3.35-3.40
Y2 0.0000 0.0000 0.1260  12 Zn 3.13-3.24, 3 Cd 3.28, 1 Y 3.35
Y3 0.0000 0.0000 0.6170  12 Zn 3.10-3.30, 1 Cd 3.25, 3 Y 3.40
Zn1 0.0000 0.0000 0.3107  6 Zn 2.70-2.71
Zn2 0.0000 0.0000 0.8099  6 Zn 2.71-2.75
Zn3 0.1676 0.3352 0.8946  6 Zn 2.70-2.75
Zn4 0.1688 0.3376 0.3931  6 Zn 2.68-2.75
Cd1 0.0000 0.0000 0.4947  12 Zn 3.14-3.24, 4 Y 3.25-3.28

Computed properties:
density of states at the Fermi level	0.44	states/eV/atom
calculated volume	18.9	Å³/atom
formation energy	-0.288	eV/atom

2.
The following is a PBE-GGA calculation of a geometry-optimized SmEr6Sc3 structure, from the Alexandria database.

Cell: 10.2519 18.5769 6.1582 Å, 90.00 90.00 90.00°
Last column: nearest neighbours and their distance in Å.
Space group Cmc2_1 (No. 36)
Inequivalent atoms, fractional coordinates:
Sm1 0.0000 0.2106 0.0000  3 Sc 3.01-3.28, 4 Er 3.21-3.29
Er1 0.0000 0.0459 0.6594  6 Er 3.52-3.79, 4 Sc 3.55-3.58, 1 Sm 3.71
Er2 0.0000 0.3105 0.4680  1 Sc 3.14, 6 Er 3.32-3.45, 1 Sm 3.43
Er3 0.1690 0.4632 0.3202  4 Sc 3.18-3.37, 6 Er 3.37-3.54
Er4 0.2341 0.2040 0.6547  3 Sc 3.16-3.50, 2 Sm 3.21-3.29, 5 Er 3.32-3.54
Sc1 0.0000 0.3853 0.9254  7 Er 3.14-3.49, 1 Sm 3.28, 2 Sc 3.39
Sc2 0.1922 0.1134 0.2257  1 Sm 3.01, 3 Er 3.16-3.21

Computed properties:
density of states at the Fermi level	1.22	states/eV/atom
calculated volume	29.3	Å³/atom
formation energy	0.163	eV/atom

3.
The following is a PBE-GGA calculation of a geometry-optimized MnSe2Cl structure, from the Alexandria database.

Cell: 3.4640 3.4640 6.7830 Å, 90.00 90.00 90.00°
Last column: nearest neighbours and their distance in Å.
Space group P4/mmm (No. 123)
Inequivalent atoms, fractional coordinates:
Mn1 0.0000 0.0000 0.0000  8 Se 2.74
Se1 0.5000 0.5000 0.1823  1 Se 2.47, 4 Mn 2.74
Cl1 0.0000 0.0000 0.5000  8 Se 3.26, 2 Mn 3.39, 4 Cl 3.46

Computed properties:
density of states at the Fermi level	0.26	states/eV/atom
calculated volume	20.3	Å³/atom
energy above the lowest structure with this stoichiometry	392	meV per atom

4.
The following is a PBE-GGA calculation of a geometry-optimized La3Ag11 structure, from the Alexandria database.

Cell: 4.7358 9.7203 13.8186 Å, 90.00 90.00 90.00°
Last column: nearest neighbours and their distance in Å.
Space group Immm (No. 71)
Inequivalent atoms, fractional coordinates:
La1 0.0000 0.0000 0.0000  4 Ag 3.23
La2 0.0000 0.0000 0.3027  16 Ag 3.28-3.65
Ag1 0.0000 0.1971 0.5000  8 Ag 2.85-3.05
Ag2 0.0000 0.2797 0.1263  6 Ag 2.76-2.95
Ag3 0.0000 0.3581 0.3277  5 Ag 2.76-2.89
Ag4 0.0000 0.5000 0.0000  8 Ag 2.76-3.05

Computed properties:
density of states at the Fermi level	0.47	states/eV/atom
calculated volume	22.7	Å³/atom
formation energy	-0.203	eV/atom

5.
The following is a PBE-GGA calculation of a geometry-optimized TaCu2Re structure, from the Alexandria database.

Cell: 3.2926 3.2926 5.2663 Å, 90.00 90.00 90.00°
Last column: nearest neighbours and their distance in Å.
Space group P4/mmm (No. 123)
Inequivalent atoms, fractional coordinates:
Ta1 0.0000 0.0000 0.0000  2 Re 2.63, 8 Cu 2.69
Cu1 0.5000 0.5000 0.2572  2 Cu 2.56-2.71, 4 Re 2.66, 4 Ta 2.69
Re1 0.0000 0.0000 0.5000  2 Ta 2.63, 8 Cu 2.66

Computed properties:
density of states at the Fermi level	0.71	states/eV/atom
calculated volume	14.3	Å³/atom
formation energy	0.311	eV/atom
energy above the lowest structure with this stoichiometry	210	meV per atom

6.
The following is a PBE-GGA calculation of a geometry-optimized PrSmZnRu structure, from the Alexandria database.

Cell: 7.1748 7.1748 7.1748 Å, 90.00 90.00 90.00°
Last column: nearest neighbours and their distance in Å.
Space group F-43m (No. 216)
Inequivalent atoms, fractional coordinates:
Pr1 0.0000 0.0000 0.0000  4 Ru 3.11, 4 Zn 3.11
Sm1 0.0000 0.0000 0.5000  4 Ru 3.11, 4 Zn 3.11
Zn1 0.2500 0.2500 0.2500  4 Pr 3.11, 4 Sm 3.11
Ru1 0.2500 0.2500 0.7500  4 Pr 3.11, 4 Sm 3.11

Computed properties:
density of states at the Fermi level	1.03	states/eV/atom
calculated volume	23.1	Å³/atom
formation energy	-0.220	eV/atom
energy above the lowest structure with this stoichiometry	20	meV per atom

7.
The following is a PBE-GGA calculation of a geometry-optimized SmHo4Se5 structure, from the Alexandria database.

Cell: 4.0778 5.7570 20.4506 Å, 90.00 90.00 90.00°
Last column: nearest neighbours and their distance in Å.
Space group Immm (No. 71)
Inequivalent atoms, fractional coordinates:
Sm1 0.0000 0.0000 0.0000  6 Se 2.88-2.95
Ho1 0.0000 0.0000 0.2019  6 Se 2.86-2.88
Ho2 0.0000 0.0000 0.4008  6 Se 2.88
Se1 0.0000 0.5000 0.0000  4 Ho 2.88, 2 Sm 2.88
Se2 0.0000 0.5000 0.1989  6 Ho 2.88
Se3 0.0000 0.5000 0.3960  4 Ho 2.86-2.88, 2 Sm 2.95

Computed properties:
density of states at the Fermi level	0.47	states/eV/atom
E	-115.602	eV for the cell shown
calculated volume	24.0	Å³/atom

8.
The following is a PBE-GGA calculation of a geometry-optimized CsTi3S structure, from the Alexandria database.

Cell: 4.9734 4.9734 4.9734 Å, 90.00 90.00 90.00°
Last column: nearest neighbours and their distance in Å.
Space group Pm-3m (No. 221)
Inequivalent atoms, fractional coordinates:
Cs1 0.0000 0.0000 0.0000  6 Ti 2.49
Ti1 0.0000 0.0000 0.5000  2 Cs 2.49
S1 0.5000 0.5000 0.5000  12 Ti 3.52

Computed properties:
density of states at the Fermi level	1.32	states/eV/atom
calculated volume	24.6	Å³/atom
energy above the lowest structure with this stoichiometry	1688	meV per atom

9.
The following is a PBE-GGA calculation of a geometry-optimized Fe3Co structure, from the Alexandria database.

Cell: 2.5726 2.5726 24.5138 Å, 90.00 90.00 120.00°
Last column: nearest neighbours and their distance in Å.
Space group R-3m (No. 166, hexagonal axes)
Inequivalent atoms, fractional coordinates:
Fe1 0.0000 0.0000 0.0000  12 Fe 2.56-2.57
Fe2 0.0000 0.0000 0.2482  3 Co 2.49, 9 Fe 2.56-2.57
Co1 0.0000 0.0000 0.5000  6 Fe 2.49, 6 Co 2.57

Computed properties:
density of states at the Fermi level	0.81	states/eV/atom
calculated volume	11.7	Å³/atom
formation energy	0.085	eV/atom

10.
The following is a PBE-GGA calculation of a geometry-optimized AcSm3In3 structure, from the Alexandria database.

Cell: 9.8389 9.8389 5.2750 Å, 90.00 90.00 120.00°
Last column: nearest neighbours and their distance in Å.
Space group P6_3/m (No. 176)
Inequivalent atoms, fractional coordinates:
Ac1 0.3333 0.6667 0.2500  9 In 3.48-3.60
Sm1 0.0074 0.2394 0.7500  4 In 3.22-3.46, 4 Sm 3.51
In1 0.0630 0.6158 0.7500  4 Sm 3.22-3.46, 2 In 3.30, 3 Ac 3.48-3.60

Computed properties:
density of states at the Fermi level	0.92	states/eV/atom
calculated volume	31.6	Å³/atom
formation energy	-0.349	eV/atom

11.
The following is a PBE-GGA calculation of a geometry-optimized CuHN structure, from the Alexandria database.

Cell: 4.0502 4.0502 3.3538 Å, 90.00 90.00 90.00°
Last column: nearest neighbours and their distance in Å.
Space group P4/nmm (No. 129, origin choice 2)
Inequivalent atoms, fractional coordinates:
Cu1 0.2500 0.7500 0.0000  4 N 2.03
H1 0.2500 0.2500 0.3619  1 N 1.04
N1 0.2500 0.2500 0.0508  1 H 1.04

Computed properties:
density of states at the Fermi level	0.31	states/eV/atom
calculated volume	9.2	Å³/atom
energy above the lowest structure with this stoichiometry	46	meV per atom

12.
The following is a PBE-GGA calculation of a geometry-optimized NdBiN structure, from the Alexandria database.

Cell: 10.1265 11.5636 12.1308 Å, 90.00 90.00 90.00°
Last column: nearest neighbours and their distance in Å.
Space group Fddd (No. 70, origin choice 2)
Inequivalent atoms, fractional coordinates:
Nd1 0.0596 0.3750 0.3750  2 N 2.18
Bi1 0.1250 0.1250 0.5030  1 Bi 2.96
N1 0.0000 0.0000 0.0000  2 Nd 2.18

Computed properties:
density of states at the Fermi level	0.80	states/eV/atom
calculated volume	29.6	Å³/atom
energy above the lowest structure with this stoichiometry	824	meV per atom